[1]
Computed, not measured: a relaxed CdRu2Se crystal at the PBE level of DFT.

E ... -21.11 eV per cell
SG ... No. 225
Calculated volume ... 64 Å³/cell
Uncorrected formation energy ... 0.46 eV/atom
D(E_F) ... 1.83 states/eV per cell
Magnetic moment ... 0.0 μB per formula unit
Energy above the most stable polymorph in this dataset ... 281 meV/atom

Lattice parameters (Å, degrees): 4.480 4.480 4.480 60.00 60.00 60.00
Sites, in units of the cell vectors:
Ru (0.750, 0.750, 0.750)
Cd (0.500, 0.500, 0.500)
Ru (0.250, 0.250, 0.250)
Se (0.000, 0.000, 0.000)


[2]
Computed, not measured: a relaxed NaNbIr2Pd crystal at the PBE level of DFT.

E ... -26.44 eV per cell
SG ... No. 123
Calculated volume ... 101 Å³/cell
Formation enthalpy at 0 K ... 1.5725 eV/atom
D(E_F) ... 8.50 states/eV per cell
Magnetic moment ... 0.0 μB per formula unit

Lattice parameters (Å, degrees): 4.812 4.374 4.812 90.00 90.00 90.00
Sites, in units of the cell vectors:
Ir (0.500, 0.000, 0.000)
Ir (0.000, 0.000, 0.500)
Nb (0.500, 0.500, 0.500)
Pd (0.000, 0.000, 0.000)
Na (0.000, 0.500, 0.000)


[3]
Computed, not measured: a relaxed PmThSn crystal at the PBE level of DFT.

E ... -35.35 eV per cell
SG ... No. 129
Calculated volume ... 190 Å³/cell
Formation enthalpy at 0 K ... -0.5000 eV/atom
D(E_F) ... 6.88 states/eV per cell
Magnetic moment ... 0.3 μB per formula unit
Energy above the most stable polymorph in this dataset ... 0 meV/atom

Lattice parameters (Å, degrees): 4.624 4.624 8.879 90.00 90.00 90.00
Each line ends with the local moment (μB).
Sites, in units of the cell vectors:
Th (0.500, 0.500, 0.500)  0.04
Pm (0.000, 0.500, 0.856)  0.11
Sn (0.000, 0.500, 0.221)  -0.01
Th (0.000, 0.000, 0.500)  0.04
Pm (0.500, 0.000, 0.144)  0.11
Sn (0.500, 0.000, 0.779)  -0.01